# LiLuCuSn

An optimized crystal structure of LiLuCuSn (PBE-GGA, Alexandria).

Results
D(E_F) = 2.00 states/eV/f.u.
Space-group type = F-43m
DFT total energy = -0.2932 Ry per atom
Calculated formation energy = -1.42 eV per formula unit

Lattice parameters (Å, degrees): 6.601 6.601 6.601 90.00 90.00 90.00
Fractional positions:
Li: 0.000 0.000 0.000
Li: 0.000 0.500 0.500
Li: 0.500 0.000 0.500
Li: 0.500 0.500 0.000
Lu: 0.250 0.250 0.250
Lu: 0.250 0.750 0.750
Lu: 0.750 0.250 0.750
Lu: 0.750 0.750 0.250
Cu: 0.000 0.000 0.500
Cu: 0.000 0.500 0.000
Cu: 0.500 0.000 0.000
Cu: 0.500 0.500 0.500
Sn: 0.250 0.250 0.750
Sn: 0.250 0.750 0.250
Sn: 0.750 0.250 0.250
Sn: 0.750 0.750 0.750